Entry from the Alexandria database: Y2IrPbO8 after structural relaxation (GGA-PBE).

Values from the calculation:
The volume comes out at 14.31 Å³/atom. As for the total DFT energy (no corrections): -7.300 eV/atom. The uncorrected formation energy is -43.12 kcal/mol of atoms.

Cell: 5.0097 5.0097 6.8430 Å, 90.00 90.00 91.34°
Sites, in units of the cell vectors:
Y (0.0000, 0.0000, 0.2485)
Y (0.0000, 0.0000, 0.7515)
Ir (0.5000, 0.5000, 0.0000)
Pb (0.5000, 0.5000, 0.5000)
O (0.1937, 0.1937, 0.5000)
O (0.2287, 0.2287, 0.0000)
O (0.3182, 0.6818, 0.2157)
O (0.3182, 0.6818, 0.7843)
O (0.6818, 0.3182, 0.2157)
O (0.6818, 0.3182, 0.7843)
O (0.7713, 0.7713, 0.0000)
O (0.8063, 0.8063, 0.5000)